[1]
First-principles (PBE) data for a relaxed K2SbRu crystal, as listed in the Alexandria database.

a = 4.130 Å, b = 5.602 Å, c = 5.215 Å
α = 90.00°, β = 95.17°, γ = 90.00°
Space group P2/m (No. 10)
Inequivalent atoms, fractional coordinates:
K (0.174, 0.000, 0.267) (multiplicity 2)
Sb (0.500, 0.500, 0.000) (multiplicity 1)
Ru (0.500, 0.500, 0.500) (multiplicity 1)

[2]
First-principles (PBE) data for a relaxed Pu2GaH2 crystal, as listed in the Alexandria database.

a = 12.365 Å, b = 3.526 Å, c = 6.998 Å
α = 90.00°, β = 116.36°, γ = 90.00°
Space group C2/c (No. 15)
Inequivalent atoms, fractional coordinates:
Pu (0.181, 0.248, 0.198) (multiplicity 8)
Ga (0.000, 0.253, 0.750) (multiplicity 4)
H (0.161, 0.253, 0.495) (multiplicity 8)

[3]
First-principles (PBE) data for a relaxed Be2FeAu crystal, as listed in the Alexandria database.

a = 2.772 Å, b = 2.772 Å, c = 5.973 Å
α = 90.00°, β = 90.00°, γ = 90.00°
Space group P4mm (No. 99)
Inequivalent atoms, fractional coordinates:
Be (0.000, 0.000, 0.000) (multiplicity 1)
Be (0.500, 0.500, 0.188) (multiplicity 1)
Fe (0.000, 0.000, 0.404) (multiplicity 1)
Au (0.500, 0.500, 0.745) (multiplicity 1)

- calculated formation energy (kcal/mol of atoms) = 0.64

[4]
First-principles (PBE) data for a relaxed KTl2HPb crystal, as listed in the Alexandria database.

a = 5.192 Å, b = 5.192 Å, c = 4.915 Å
α = 90.00°, β = 90.00°, γ = 90.00°
Space group P4/mmm (No. 123)
Inequivalent atoms, fractional coordinates:
K (0.000, 0.000, 0.000) (multiplicity 1)
Tl (0.000, 0.500, 0.500) (multiplicity 2)
H (0.000, 0.000, 0.500) (multiplicity 1)
Pb (0.500, 0.500, 0.000) (multiplicity 1)

[5]
First-principles (PBE) data for a relaxed Hf2HgPt crystal, as listed in the Alexandria database.

a = 7.507 Å, b = 7.507 Å, c = 6.291 Å
α = 90.00°, β = 90.00°, γ = 90.00°
Space group I-42d (No. 122)
Inequivalent atoms, fractional coordinates:
Hf (0.215, 0.750, 0.125) (multiplicity 8)
Hg (0.000, 0.000, 0.500) (multiplicity 4)
Pt (0.000, 0.000, 0.000) (multiplicity 4)

- calculated formation energy (kcal/mol of atoms) = -3.68

[6]
First-principles (PBE) data for a relaxed ReAu3 crystal, as listed in the Alexandria database.

a = 9.536 Å, b = 2.778 Å, c = 5.202 Å
α = 90.00°, β = 97.83°, γ = 90.00°
Space group C2/m (No. 12)
Inequivalent atoms, fractional coordinates:
Re (0.000, 0.000, 0.000) (multiplicity 2)
Au (0.000, 0.500, 0.500) (multiplicity 2)
Au (0.243, 0.500, 0.240) (multiplicity 4)

- calculated formation energy (kcal/mol of atoms) = 10.77

[7]
First-principles (PBE) data for a relaxed NdGaHgAu crystal, as listed in the Alexandria database.

a = 7.147 Å, b = 7.147 Å, c = 7.147 Å
α = 90.00°, β = 90.00°, γ = 90.00°
Space group F-43m (No. 216)
Inequivalent atoms, fractional coordinates:
Nd (0.000, 0.000, 0.000) (multiplicity 4)
Ga (0.000, 0.000, 0.500) (multiplicity 4)
Hg (0.250, 0.250, 0.750) (multiplicity 4)
Au (0.250, 0.250, 0.250) (multiplicity 4)

- calculated formation energy (kcal/mol of atoms) = -11.35

[8]
First-principles (PBE) data for a relaxed Tb2PmSm2Dy2 crystal, as listed in the Alexandria database.

a = 11.328 Å, b = 5.071 Å, c = 8.026 Å
α = 90.00°, β = 98.05°, γ = 90.00°
Space group C2/m (No. 12)
Inequivalent atoms, fractional coordinates:
Tb (0.143, 0.000, 0.430) (multiplicity 4)
Pm (0.000, 0.000, 0.000) (multiplicity 2)
Sm (0.072, 0.500, 0.715) (multiplicity 4)
Dy (0.214, 0.500, 0.144) (multiplicity 4)

- calculated formation energy (kcal/mol of atoms) = 0.33

[9]
First-principles (PBE) data for a relaxed Hf6CdIn3 crystal, as listed in the Alexandria database.

a = 8.865 Å, b = 15.186 Å, c = 6.949 Å
α = 90.00°, β = 90.00°, γ = 90.00°
Space group Cmc2_1 (No. 36)
Inequivalent atoms, fractional coordinates:
Hf (0.000, 0.045, 0.000) (multiplicity 4)
Hf (0.000, 0.264, 0.682) (multiplicity 4)
Hf (0.188, 0.423, 0.765) (multiplicity 8)
Hf (0.194, 0.227, 0.011) (multiplicity 8)
Cd (0.000, 0.162, 0.332) (multiplicity 4)
In (0.000, 0.404, 0.375) (multiplicity 4)
In (0.196, 0.100, 0.670) (multiplicity 8)

- calculated formation energy (kcal/mol of atoms) = 2.30

[10]
First-principles (PBE) data for a relaxed HoLu2Pu crystal, as listed in the Alexandria database.

a = 4.878 Å, b = 4.878 Å, c = 4.914 Å
α = 90.00°, β = 90.00°, γ = 90.00°
Space group P4/mmm (No. 123)
Inequivalent atoms, fractional coordinates:
Ho (0.000, 0.000, 0.000) (multiplicity 1)
Lu (0.000, 0.500, 0.500) (multiplicity 2)
Pu (0.500, 0.500, 0.000) (multiplicity 1)

- calculated formation energy (kcal/mol of atoms) = 3.03
- energy above the lowest structure with this stoichiometry (eV/f.u.) = 0.17

[11]
First-principles (PBE) data for a relaxed Y4PbS2 crystal, as listed in the Alexandria database.

a = 4.018 Å, b = 13.157 Å, c = 13.469 Å
α = 90.00°, β = 90.00°, γ = 90.00°
Space group Cmcm (No. 63)
Inequivalent atoms, fractional coordinates:
Y (0.000, 0.000, 0.000) (multiplicity 4)
Y (0.000, 0.264, 0.115) (multiplicity 8)
Y (0.000, 0.427, 0.750) (multiplicity 4)
Pb (0.000, 0.107, 0.750) (multiplicity 4)
S (0.000, 0.367, 0.558) (multiplicity 8)

[12]
First-principles (PBE) data for a relaxed Pr2MgBPt6 crystal, as listed in the Alexandria database.

a = 5.749 Å, b = 8.780 Å, c = 7.589 Å
α = 90.00°, β = 90.00°, γ = 90.00°
Space group Pmmn (No. 59, origin choice 2)
Inequivalent atoms, fractional coordinates:
Pr (0.250, 0.031, 0.215) (multiplicity 4)
Mg (0.250, 0.750, 0.821) (multiplicity 2)
B (0.250, 0.250, 0.687) (multiplicity 2)
Pt (0.007, 0.250, 0.899) (multiplicity 4)
Pt (0.013, 0.750, 0.510) (multiplicity 4)
Pt (0.250, 0.006, 0.627) (multiplicity 4)

- calculated formation energy (kcal/mol of atoms) = -19.28

[13]
First-principles (PBE) data for a relaxed NaTl4Bi4 crystal, as listed in the Alexandria database.

a = 10.673 Å, b = 10.673 Å, c = 4.937 Å
α = 90.00°, β = 90.00°, γ = 90.00°
Space group I4/mmm (No. 139)
Inequivalent atoms, fractional coordinates:
Na (0.000, 0.000, 0.000) (multiplicity 2)
Tl (0.166, 0.166, 0.500) (multiplicity 8)
Bi (0.000, 0.340, 0.000) (multiplicity 8)

- calculated formation energy (kcal/mol of atoms) = -0.50

[14]
First-principles (PBE) data for a relaxed Dy2Y8In crystal, as listed in the Alexandria database.

a = 19.406 Å, b = 5.556 Å, c = 6.459 Å
α = 90.00°, β = 94.75°, γ = 90.00°
Space group C2/m (No. 12)
Inequivalent atoms, fractional coordinates:
Dy (0.243, 0.000, 0.337) (multiplicity 4)
Y (0.045, 0.000, 0.262) (multiplicity 4)
Y (0.079, 0.500, 0.598) (multiplicity 4)
Y (0.154, 0.000, 0.805) (multiplicity 4)
Y (0.162, 0.500, 0.123) (multiplicity 4)
In (0.000, 0.500, 0.000) (multiplicity 2)

- calculated formation energy (kcal/mol of atoms) = -1.48
- energy above the lowest structure with this stoichiometry (eV/f.u.) = 0.00

[15]
First-principles (PBE) data for a relaxed Rb12Hg3Cl5 crystal, as listed in the Alexandria database.

a = 20.732 Å, b = 20.732 Å, c = 20.732 Å
α = 90.00°, β = 90.00°, γ = 90.00°
Space group Ia-3d (No. 230)
Inequivalent atoms, fractional coordinates:
Rb (0.026, 0.058, 0.650) (multiplicity 96)
Hg (0.000, 0.250, 0.125) (multiplicity 24)
Cl (0.000, 0.000, 0.000) (multiplicity 16)
Cl (0.000, 0.250, 0.375) (multiplicity 24)

[16]
First-principles (PBE) data for a relaxed LiTmCuGe2 crystal, as listed in the Alexandria database.

a = 3.994 Å, b = 3.994 Å, c = 10.681 Å
α = 90.00°, β = 90.00°, γ = 90.00°
Space group I-4m2 (No. 119)
Inequivalent atoms, fractional coordinates:
Li (0.000, 0.000, 0.000) (multiplicity 2)
Tm (0.000, 0.500, 0.750) (multiplicity 2)
Cu (0.000, 0.000, 0.500) (multiplicity 2)
Ge (0.000, 0.500, 0.135) (multiplicity 4)

- calculated formation energy (kcal/mol of atoms) = -12.06

[17]
First-principles (PBE) data for a relaxed PrGdZnPb crystal, as listed in the Alexandria database.

a = 7.603 Å, b = 7.603 Å, c = 7.603 Å
α = 90.00°, β = 90.00°, γ = 90.00°
Space group F-43m (No. 216)
Inequivalent atoms, fractional coordinates:
Pr (0.000, 0.000, 0.000) (multiplicity 4)
Gd (0.000, 0.000, 0.500) (multiplicity 4)
Zn (0.250, 0.250, 0.750) (multiplicity 4)
Pb (0.250, 0.250, 0.250) (multiplicity 4)

- calculated formation energy (kcal/mol of atoms) = -9.11

[18]
First-principles (PBE) data for a relaxed PuPa2Ir crystal, as listed in the Alexandria database.

a = 6.998 Å, b = 6.998 Å, c = 6.998 Å
α = 90.00°, β = 90.00°, γ = 90.00°
Space group Fm-3m (No. 225)
Inequivalent atoms, fractional coordinates:
Pu (0.000, 0.000, 0.000) (multiplicity 4)
Pa (0.250, 0.250, 0.250) (multiplicity 8)
Ir (0.000, 0.000, 0.500) (multiplicity 4)

- calculated formation energy (kcal/mol of atoms) = -7.22
- energy above the lowest structure with this stoichiometry (eV/f.u.) = 0.02

Sequential E output: -3.35 -7.60 -4.77 -2.51 -6.72 -5.10 -3.34 -4.65 -6.79 -6.86 -6.76 -6.24 -2.94 -5.85 -2.01 -4.47 -6.36 -10.86 eV per atom
Sequential calculated volume output: 120.2 273.3 45.9 132.5 354.5 136.5 365.1 456.5 935.5 116.9 712.1 383.0 562.4 694.1 8910.4 170.4 439.4 342.7 Å³/cell